Entry 1:
{
  "formula": "YNbSnGe2",
  "functional": "PBE",
  "state": "relaxed",
  "lattice_angstrom": [[5.044, 0.000, 0.000], [0.000, 5.427, 0.000], [0.000, 0.000, 5.044]],
  "species": ["Ge", "Ge", "Y", "Sn", "Nb"],
  "fractional_positions": [[0.000, 0.000, 0.500], [0.500, 0.000, 0.000], [0.000, 0.500, 0.000], [0.500, 0.500, 0.500], [0.000, 0.000, 0.000]],
  "volume_a3_per_atom": 27.61,
  "energy_ev_per_atom": -5.598
}

=====

Entry 2:
{
  "formula": "NbZnSnGe2",
  "functional": "PBE",
  "state": "relaxed",
  "lattice_angstrom": [[-0.344, -4.561, 0.836], [4.710, -0.739, -2.097], [1.955, 0.618, 4.173]],
  "species": ["Sn", "Nb", "Ge", "Ge", "Zn"],
  "fractional_positions": [[0.500, 0.500, 0.500], [0.000, 0.500, 0.000], [0.500, 0.000, 0.000], [0.000, 0.000, 0.500], [0.000, 0.000, 0.000]],
  "volume_a3_per_atom": 22.52,
  "energy_ev_per_atom": -4.144
}

=====

Entry 3:
{
  "formula": "SrNb3Ge",
  "functional": "PBE",
  "state": "relaxed",
  "lattice_angstrom": [[-2.391, -0.489, 4.332], [-2.342, -4.023, -1.747], [3.677, -2.881, 1.704]],
  "species": ["Sr", "Nb", "Nb", "Nb", "Ge"],
  "fractional_positions": [[0.500, 0.500, 0.500], [0.000, 0.000, 0.500], [0.000, 0.500, 0.000], [0.500, 0.000, 0.000], [0.000, 0.000, 0.000]],
  "volume_a3_per_atom": 24.59,
  "energy_ev_per_atom": -6.473
}

=====

Entry 4:
{
  "formula": "SrNbGe3",
  "functional": "PBE",
  "state": "relaxed",
  "lattice_angstrom": [[5.245, 0.000, 0.000], [0.000, 5.245, 0.000], [0.000, 0.000, 5.245]],
  "species": ["Ge", "Ge", "Ge", "Nb", "Sr"],
  "fractional_positions": [[0.000, 0.500, 0.000], [0.500, 0.000, 0.000], [0.000, 0.000, 0.500], [0.500, 0.500, 0.500], [0.000, 0.000, 0.000]],
  "volume_a3_per_atom": 28.87,
  "energy_ev_per_atom": -3.323
}

=====

Entry 5:
{
  "formula": "SrNb3Ge",
  "functional": "PBE",
  "state": "relaxed",
  "lattice_angstrom": [[-4.096, 0.898, -2.512], [1.823, -2.418, -3.837], [-1.947, -4.152, 1.692]],
  "species": ["Nb", "Nb", "Nb", "Sr", "Ge"],
  "fractional_positions": [[0.000, 0.500, 0.000], [0.000, 0.000, 0.500], [0.500, 0.000, 0.000], [0.000, 0.000, 0.000], [0.500, 0.500, 0.500]],
  "volume_a3_per_atom": 23.36,
  "energy_ev_per_atom": -4.790
}

=====

Entry 6:
{
  "formula": "SrNbGe3",
  "functional": "PBE",
  "state": "relaxed",
  "lattice_angstrom": [[5.056, 0.000, 0.000], [0.000, 5.056, 0.000], [0.000, 0.000, 5.056]],
  "species": ["Sr", "Ge", "Ge", "Ge", "Nb"],
  "fractional_positions": [[0.500, 0.500, 0.500], [0.000, 0.000, 0.500], [0.500, 0.000, 0.000], [0.000, 0.500, 0.000], [0.000, 0.000, 0.000]],
  "volume_a3_per_atom": 25.86,
  "energy_ev_per_atom": -5.298
}

=====

Entry 7:
{
  "formula": "Sr2NbZnGe",
  "functional": "PBE",
  "state": "relaxed",
  "lattice_angstrom": [[6.103, 0.000, 0.000], [0.000, 4.606, 0.000], [0.000, 0.000, 6.103]],
  "species": ["Sr", "Sr", "Ge", "Zn", "Nb"],
  "fractional_positions": [[0.000, 0.000, 0.500], [0.500, 0.000, 0.000], [0.000, 0.000, 0.000], [0.000, 0.500, 0.000], [0.500, 0.500, 0.500]],
  "volume_a3_per_atom": 34.32,
  "energy_ev_per_atom": -3.216
}

=====

Entry 8:
{
  "formula": "TaNbGe2",
  "functional": "PBE",
  "state": "relaxed",
  "lattice_angstrom": [[2.991, 0.000, 0.000], [1.495, 2.590, 0.000], [1.495, 0.863, 8.868]],
  "species": ["Ge", "Ge", "Ta", "Nb"],
  "fractional_positions": [[0.250, 0.250, 0.250], [0.750, 0.750, 0.750], [0.000, 0.000, 0.000], [0.500, 0.500, 0.500]],
  "volume_a3_per_atom": 17.17,
  "energy_ev_per_atom": -7.790
}